First-principles (PBE-GGA) data for an optimized crystal structure of KLiPt3, as listed in Alexandria via LeMat-Bulk.

Properties
- Calculated volume: 90.9 Å³/cell
- Energy of formation from the pure elements: 0.43 eV/atom
- SG: No. 221
- M_tot: 0.000 μB/cell
- ΔE to the lowest computed polymorph: 0 meV per atom
- DFT total energy: -3.800 eV per atom

Unit cell a=4.4969 b=4.4969 c=4.4969 alpha=90.00 beta=90.00 gamma=90.00
With the nearest neighbours (Å) after each atom.
Fractional coordinates of all 5 atoms:
K 0.5000 0.5000 0.5000  12 Pt 3.18
Pt 0.0000 0.5000 0.0000  2 Li 2.25
Pt 0.0000 0.0000 0.5000  2 Li 2.25
Pt 0.5000 0.0000 0.0000  2 Li 2.25
Li 0.0000 0.0000 0.0000  6 Pt 2.25